The following is a DFT calculation (GGA-PBE) of V2CoRhAu after structural relaxation.

Cell lengths 4.7522, 4.7522, 4.9219 Å; angles 90.00, 90.00, 90.00 degrees
Closest atoms and distances in Å follow each position.
Atoms (fractional coordinates):
V1 0.0000 0.5000 0.0000  2 Au 2.38
V2 0.5000 0.0000 0.0000  2 Au 2.38
Co1 0.0000 0.0000 0.5000  4 Rh 3.36, 8 V 3.42
Rh1 0.5000 0.5000 0.5000  2 Au 2.46
Au1 0.5000 0.5000 0.0000  4 V 2.38, 2 Rh 2.46

Calculated values
The space-group type is No. 123. The value obtained for the calculated total energy is -5.389 eV per atom. The calculated formation energy is 1.8050 eV/atom. For the calculated volume, the calculation gives 22.23 A^3/atom.